{
  "formula": "YScAs",
  "functional": "PBE",
  "state": "relaxed",
  "formation_enthalpy_0k_ev_per_fu": 0.52,
  "energy_ev_per_atom": -5.64,
  "rho_g_cm3": 4.20,
  "lattice": [[0.000, 3.455, 3.455], [3.455, 0.000, 3.455], [3.455, 3.455, 0.000]],
  "species": ["Y", "Sc", "As"],
  "frac_coords": [[0.000, 0.000, 0.000], [0.750, 0.750, 0.750], [0.250, 0.250, 0.250]]
}